Record 1
! Ti5Cu2Tc PBE relaxed; values from VASP
! Space-group type: I4/mmm, No. 139
! Energy of formation (kJ/mol of formula units): -124.1
! Density of states at the Fermi level (states/eV/f.u.): 10.443
! Crystal system: tetragonal
&SYSTEM
  ibrav = 0, nat = 8, ntyp = 3
/
ATOMIC_SPECIES
Ti 47.87 Ti.upf
Tc 98.00 Tc.upf
Cu 63.55 Cu.upf
CELL_PARAMETERS angstrom
4.343 0.000 -1.194
-0.328 4.330 -1.194
-0.478 -0.515 6.759
ATOMIC_POSITIONS crystal
Ti 0.123 0.623 0.247
Ti 0.877 0.377 0.753
Ti 0.500 0.500 0.000
Tc 0.000 0.000 0.000
Cu 0.748 0.748 0.496
Ti 0.623 0.123 0.247
Ti 0.377 0.877 0.753
Cu 0.252 0.252 0.504

=====

Record 2
! TiCuTc3 PBE relaxed; values from VASP
! Space-group type: Pm-3m, No. 221
! Energy of formation (kJ/mol of formula units): 681.5
! Density of states at the Fermi level (states/eV/f.u.): 9.586
! Energy above the lowest structure with this stoichiometry (meV/atom): 0.0
! Crystal system: cubic
&SYSTEM
  ibrav = 0, nat = 5, ntyp = 3
/
ATOMIC_SPECIES
Tc 98.00 Tc.upf
Cu 63.55 Cu.upf
Ti 47.87 Ti.upf
CELL_PARAMETERS angstrom
-1.458 -0.917 -4.087
3.677 -2.352 -0.784
-2.005 -3.646 1.533
ATOMIC_POSITIONS crystal
Tc 0.000 0.000 0.500
Tc 0.000 0.500 0.000
Cu 0.000 0.000 0.000
Ti 0.500 0.500 0.500
Tc 0.500 0.000 0.000

=====

Record 3
! Ti6CuTc5 PBE relaxed; values from VASP
! Space-group type: Immm, No. 71
! Energy of formation (kJ/mol of formula units): -536.9
! Density of states at the Fermi level (states/eV/f.u.): 7.048
! Crystal system: orthorhombic
&SYSTEM
  ibrav = 0, nat = 12, ntyp = 3
/
ATOMIC_SPECIES
Ti 47.87 Ti.upf
Cu 63.55 Cu.upf
Tc 98.00 Tc.upf
CELL_PARAMETERS angstrom
-3.247 2.688 -1.231
-4.175 -3.963 2.359
4.065 3.706 5.217
ATOMIC_POSITIONS crystal
Ti 0.831 0.085 0.661
Cu 0.000 0.000 0.000
Tc 0.668 0.668 0.335
Tc 0.338 0.838 0.675
Ti 0.500 0.741 0.000
Ti 0.831 0.576 0.661
Tc 0.332 0.332 0.665
Ti 0.169 0.915 0.339
Ti 0.169 0.424 0.339
Tc 0.662 0.162 0.325
Ti 0.500 0.259 0.000
Tc 0.000 0.500 0.000

=====

Record 4
! Ti2CuTc PBE relaxed; values from VASP
! Space-group type: I-42d, No. 122
! Energy of formation (kJ/mol of formula units): 70.9
! Density of states at the Fermi level (states/eV/f.u.): 4.329
! Crystal system: tetragonal
&SYSTEM
  ibrav = 0, nat = 8, ntyp = 3
/
ATOMIC_SPECIES
Ti 47.87 Ti.upf
Tc 98.00 Tc.upf
Cu 63.55 Cu.upf
CELL_PARAMETERS angstrom
-0.962 0.273 6.774
-6.252 -2.683 -0.779
-2.585 -3.656 3.241
ATOMIC_POSITIONS crystal
Ti 0.122 0.625 0.250
Tc 0.750 0.250 0.500
Cu 0.250 0.750 0.500
Cu 0.500 0.500 0.000
Ti 0.375 0.372 0.750
Tc 0.000 0.000 0.000
Ti 0.875 0.878 0.750
Ti 0.628 0.125 0.250

=====

Record 5
! Ti3CuTc PBE relaxed; values from VASP
! Space-group type: Pm-3m, No. 221
! Energy of formation (kJ/mol of formula units): 342.9
! Density of states at the Fermi level (states/eV/f.u.): 8.792
! Energy above the lowest structure with this stoichiometry (meV/atom): 0.0
! Crystal system: cubic
&SYSTEM
  ibrav = 0, nat = 5, ntyp = 3
/
ATOMIC_SPECIES
Cu 63.55 Cu.upf
Ti 47.87 Ti.upf
Tc 98.00 Tc.upf
CELL_PARAMETERS angstrom
4.688 0.000 0.000
0.000 4.688 0.000
0.000 0.000 4.688
ATOMIC_POSITIONS crystal
Cu 0.500 0.500 0.500
Ti 0.500 0.000 0.000
Ti 0.000 0.500 0.000
Ti 0.000 0.000 0.500
Tc 0.000 0.000 0.000

=====

Record 6
! Ti5CuTc4 PBE relaxed; values from VASP
! Space-group type: P4/mmm, No. 123
! Energy of formation (kJ/mol of formula units): -421.3
! Density of states at the Fermi level (states/eV/f.u.): 8.635
! Crystal system: tetragonal
&SYSTEM
  ibrav = 0, nat = 10, ntyp = 3
/
ATOMIC_SPECIES
Ti 47.87 Ti.upf
Tc 98.00 Tc.upf
Cu 63.55 Cu.upf
CELL_PARAMETERS angstrom
-2.180 -2.046 0.918
1.072 0.173 2.933
-9.655 11.562 2.850
ATOMIC_POSITIONS crystal
Ti 0.500 0.500 0.104
Ti 0.500 0.500 0.500
Ti 0.500 0.500 0.701
Ti 0.500 0.500 0.896
Tc 0.000 0.000 0.194
Tc 0.000 0.000 0.399
Tc 0.000 0.000 0.806
Cu 0.000 0.000 0.000
Tc 0.000 0.000 0.601
Ti 0.500 0.500 0.299

=====

Record 7
! TiCuTc2 PBE relaxed; values from VASP
! Space-group type: I-42d, No. 122
! Energy of formation (kJ/mol of formula units): 198.0
! Density of states at the Fermi level (states/eV/f.u.): 3.888
! Energy above the lowest structure with this stoichiometry (meV/atom): 423.7
! Crystal system: tetragonal
&SYSTEM
  ibrav = 0, nat = 8, ntyp = 3
/
ATOMIC_SPECIES
Cu 63.55 Cu.upf
Tc 98.00 Tc.upf
Ti 47.87 Ti.upf
CELL_PARAMETERS angstrom
6.897 0.000 0.000
0.000 6.897 0.000
3.448 3.448 2.581
ATOMIC_POSITIONS crystal
Cu 0.000 0.000 0.000
Tc 0.631 0.125 0.250
Ti 0.500 0.500 0.000
Ti 0.250 0.750 0.500
Cu 0.750 0.250 0.500
Tc 0.119 0.625 0.250
Tc 0.375 0.369 0.750
Tc 0.875 0.881 0.750

=====

Record 8
! TiCu4Tc PBE relaxed; values from VASP
! Space-group type: F-43m, No. 216
! Energy of formation (kJ/mol of formula units): 33.2
! Density of states at the Fermi level (states/eV/f.u.): 5.803
! Crystal system: cubic
&SYSTEM
  ibrav = 0, nat = 6, ntyp = 3
/
ATOMIC_SPECIES
Cu 63.55 Cu.upf
Tc 98.00 Tc.upf
Ti 47.87 Ti.upf
CELL_PARAMETERS angstrom
-0.893 3.124 3.532
-2.192 -1.472 4.007
2.452 -0.267 4.117
ATOMIC_POSITIONS crystal
Cu 0.625 0.125 0.625
Tc 0.250 0.250 0.250
Cu 0.125 0.625 0.625
Cu 0.625 0.625 0.625
Cu 0.625 0.625 0.125
Ti 0.000 0.000 0.000